Record 1
The following is a DFT calculation (PBE) of crystalline SrNiRh2 at its relaxed geometry.

Structure (POSCAR):
```
SrNiRh2
1.0
2.163 1.249 5.301
-2.163 1.249 5.301
0.000 -2.498 5.301
Sr Ni Rh
1 1 2
Cartesian
0.000 0.000 0.000 Sr
0.000 0.000 7.952 Ni
0.000 0.000 2.952 Rh
0.000 0.000 12.952 Rh
```

Calculated values
Energy above the most stable polymorph in this dataset in kcal/mol of atoms: 0.13
SG: R-3m, No. 166
Density of states at the Fermi level in states/eV/f.u.: 5.8
Energy relative to the elements in kJ/mol of atoms: -7

=====

Record 2
The following is a DFT calculation (PBE) of crystalline Ho2TmPd2 at its relaxed geometry.

Structure (POSCAR):
```
Ho2TmPd2
1.0
7.715 0.000 0.000
0.000 7.715 0.000
0.000 0.000 3.961
Ho Tm Pd
4 2 4
Cartesian
1.273 2.585 0.000 Ho
2.585 6.443 0.000 Ho
5.130 1.273 0.000 Ho
6.443 5.130 0.000 Ho
0.000 0.000 1.981 Tm
3.858 3.858 1.981 Tm
1.035 4.893 1.981 Pd
2.822 1.035 1.981 Pd
4.893 6.680 1.981 Pd
6.680 2.822 1.981 Pd
```

Calculated values
SG: P4/mbm, No. 127
Density of states at the Fermi level in states/eV/f.u.: 3.6
Energy relative to the elements in kJ/mol of atoms: -73

=====

Record 3
The following is a DFT calculation (PBE) of crystalline NaHg2AsO4 at its relaxed geometry.

Structure (POSCAR):
```
NaHg2AsO4
1.0
0.000 3.548 5.613
3.517 0.000 5.613
3.517 3.548 0.000
Na Hg As O
1 2 1 4
Cartesian
0.000 0.000 0.000 Na
1.758 1.774 2.820 Hg
5.275 5.322 8.432 Hg
3.517 3.548 5.631 As
3.517 2.129 4.621 O
4.935 3.548 6.642 O
3.517 4.967 4.621 O
2.099 3.548 6.642 O
```

Calculated values
ΔE_f (raw) in eV/atom: -0.90
SG: Fmm2, No. 42
Density of states at the Fermi level in states/eV/f.u.: 0.8

=====

Record 4
The following is a DFT calculation (PBE) of crystalline Al2NiRuAu at its relaxed geometry.

Structure (POSCAR):
```
Al2NiRuAu
1.0
4.637 0.000 0.000
0.000 4.637 0.000
0.000 0.000 4.670
Al Ni Ru Au
2 1 1 1
Cartesian
0.000 2.318 0.000 Al
2.318 0.000 0.000 Al
0.000 0.000 2.335 Ni
2.318 2.318 2.335 Ru
0.000 0.000 0.000 Au
```

Calculated values
SG: P4/mmm, No. 123
Density of states at the Fermi level in states/eV/f.u.: 5.8
Energy relative to the elements in kJ/mol of atoms: 96

=====

Record 5
The following is a DFT calculation (PBE) of crystalline BeAl2Ir3 at its relaxed geometry.

Structure (POSCAR):
```
BeAl2Ir3
1.0
2.960 0.000 0.000
0.000 2.960 0.000
0.000 0.000 8.804
Be Al Ir
1 2 3
Cartesian
0.000 0.000 0.000 Be
0.000 0.000 2.836 Al
0.000 0.000 5.968 Al
1.480 1.480 1.373 Ir
1.480 1.480 4.402 Ir
1.480 1.480 7.431 Ir
```

Calculated values
SG: P4/mmm, No. 123
Density of states at the Fermi level in states/eV/f.u.: 1.0
Energy relative to the elements in kJ/mol of atoms: -83

=====

Record 6
The following is a DFT calculation (PBE) of crystalline Li7B8C8 at its relaxed geometry.

Structure (POSCAR):
```
Li7B8C8
1.0
5.470 0.000 0.000
-2.735 4.738 0.000
0.000 0.000 7.143
Li B C
7 8 8
Cartesian
0.000 0.000 0.000 Li
-1.368 2.369 0.000 Li
-1.368 2.369 3.571 Li
2.735 0.000 0.000 Li
2.735 0.000 3.571 Li
1.368 2.369 0.000 Li
1.368 2.369 3.571 Li
0.000 1.568 5.352 B
-1.378 3.954 5.352 B
1.358 0.784 1.791 B
0.000 3.158 1.747 B
2.735 1.579 5.396 B
1.378 3.954 5.352 B
4.113 0.784 1.791 B
2.735 3.170 1.791 B
0.000 1.581 1.751 C
-1.366 3.947 1.751 C
0.000 3.158 5.332 C
1.369 0.790 5.392 C
1.366 3.947 1.751 C
2.735 1.579 1.811 C
4.101 0.790 5.392 C
2.735 3.157 5.392 C
```

Calculated values
Energy above the most stable polymorph in this dataset in kcal/mol of atoms: 0.08
SG: P-3m1, No. 164
Density of states at the Fermi level in states/eV/f.u.: 4.6
Energy relative to the elements in kJ/mol of atoms: -30